# PBE ErZnPb, relaxed
data_ErZnPb
_chemical_formula_sum 'Er4 Zn4 Pb4'
_cell_length_a 6.723
_cell_length_b 6.723
_cell_length_c 6.723
_cell_angle_alpha 90.00
_cell_angle_beta 90.00
_cell_angle_gamma 90.00
_space_group_name_H-M_alt 'F -4 3 m'
_space_group_IT_number 216
_space_group_name_Hall 'F -4 2 3'
loop_
_atom_site_label
_atom_site_type_symbol
_atom_site_fract_x
_atom_site_fract_y
_atom_site_fract_z
Er1 Er 0.000 0.000 0.000
Zn1 Zn 0.250 0.250 0.250
Pb1 Pb 0.000 0.000 0.500
# V in Å³ per atom: 25.32
# Formation energy from the elements in meV/atom: -197

# PBE ErZnPb, relaxed
data_ErZnPb
_chemical_formula_sum 'Er1 Zn1 Pb1'
_cell_length_a 4.5966
_cell_length_b 4.5966
_cell_length_c 3.9603
_cell_angle_alpha 90.00
_cell_angle_beta 90.00
_cell_angle_gamma 120.00
_space_group_name_H-M_alt 'P 3 m 1'
_space_group_IT_number 156
loop_
_space_group_symop_operation_xyz
'x,y,z'
'-y,x-y,z'
'-x+y,-x,z'
'-y,-x,z'
'-x+y,y,z'
'x,x-y,z'
loop_
_atom_site_label
_atom_site_type_symbol
_atom_site_fract_x
_atom_site_fract_y
_atom_site_fract_z
Er1 Er 0.0000 0.0000 0.0000
Zn1 Zn 0.3333 0.6667 0.3420
Pb1 Pb 0.6667 0.3333 0.5605
# V in Å³ per atom: 24.16
# Formation energy from the elements in meV/atom: -272

# PBE Er8Zn2Pb, relaxed
data_Er8Zn2Pb
_chemical_formula_sum 'Er16 Zn4 Pb2'
_cell_length_a 16.057
_cell_length_b 5.122
_cell_length_c 8.238
_cell_angle_alpha 90.00
_cell_angle_beta 118.83
_cell_angle_gamma 90.00
_space_group_name_H-M_alt 'C 1 2/m 1'
_space_group_IT_number 12
loop_
_space_group_symop_operation_xyz
'x,y,z'
'-x,-y,-z'
'-x,y,-z'
'x,-y,z'
'x+1/2,y+1/2,z'
'-x+1/2,-y+1/2,-z'
'-x+1/2,y+1/2,-z'
'x+1/2,-y+1/2,z'
loop_
_atom_site_label
_atom_site_type_symbol
_atom_site_fract_x
_atom_site_fract_y
_atom_site_fract_z
Er1 Er 0.066 0.000 0.223
Er2 Er 0.103 0.500 0.968
Er3 Er 0.152 0.000 0.711
Er4 Er 0.186 0.500 0.464
Zn1 Zn 0.217 0.000 0.115
Pb1 Pb 0.000 0.500 0.500
# V in Å³ per atom: 26.98
# Formation energy from the elements in meV/atom: -214

# PBE Er4ZnPb2, relaxed
data_Er4ZnPb2
_chemical_formula_sum 'Er8 Zn2 Pb4'
_cell_length_a 5.979
_cell_length_b 6.544
_cell_length_c 10.164
_cell_angle_alpha 90.00
_cell_angle_beta 104.48
_cell_angle_gamma 90.00
_space_group_name_H-M_alt 'P 1 21/m 1'
_space_group_IT_number 11
loop_
_space_group_symop_operation_xyz
'x,y,z'
'-x,-y,-z'
'-x,y+1/2,-z'
'x,-y+1/2,z'
loop_
_atom_site_label
_atom_site_type_symbol
_atom_site_fract_x
_atom_site_fract_y
_atom_site_fract_z
Er1 Er 0.191 0.250 0.134
Er2 Er 0.260 0.004 0.733
Er3 Er 0.304 0.750 0.431
Zn1 Zn 0.058 0.750 0.156
Pb1 Pb 0.168 0.250 0.445
Pb2 Pb 0.385 0.750 0.014
# V in Å³ per atom: 27.50
# Formation energy from the elements in meV/atom: -278

# PBE ErZnPb, relaxed
data_ErZnPb
_chemical_formula_sum 'Er4 Zn4 Pb4'
_cell_length_a 4.399
_cell_length_b 10.390
_cell_length_c 6.320
_cell_angle_alpha 90.00
_cell_angle_beta 90.00
_cell_angle_gamma 90.00
_space_group_name_H-M_alt 'C m c m'
_space_group_IT_number 63
_space_group_name_Hall '-C 2c 2'
loop_
_atom_site_label
_atom_site_type_symbol
_atom_site_fract_x
_atom_site_fract_y
_atom_site_fract_z
Er1 Er 0.000 0.190 0.250
Zn1 Zn 0.000 0.126 0.750
Pb1 Pb 0.000 0.500 0.000
# V in Å³ per atom: 24.07
# Formation energy from the elements in meV/atom: -274

# PBE ErZnPb, relaxed
data_ErZnPb
_chemical_formula_sum 'Er2 Zn2 Pb2'
_cell_length_a 3.529
_cell_length_b 3.529
_cell_length_c 11.840
_cell_angle_alpha 90.00
_cell_angle_beta 90.00
_cell_angle_gamma 90.00
_space_group_name_H-M_alt 'I 4 m m'
_space_group_IT_number 107
_space_group_name_Hall 'I 4 -2'
loop_
_atom_site_label
_atom_site_type_symbol
_atom_site_fract_x
_atom_site_fract_y
_atom_site_fract_z
Er1 Er 0.000 0.000 0.000
Zn1 Zn 0.000 0.000 0.644
Pb1 Pb 0.000 0.000 0.299
# V in Å³ per atom: 24.58
# Formation energy from the elements in meV/atom: -190

# PBE Er4Zn2Pb, relaxed
data_Er4Zn2Pb
_chemical_formula_sum 'Er12 Zn6 Pb3'
_cell_length_a 5.0239
_cell_length_b 5.0239
_cell_length_c 25.0249
_cell_angle_alpha 90.00
_cell_angle_beta 90.00
_cell_angle_gamma 120.00
_space_group_name_H-M_alt 'R -3 m'
_space_group_IT_number 166
_space_group_name_Hall '-R 3 2"'
loop_
_atom_site_label
_atom_site_type_symbol
_atom_site_fract_x
_atom_site_fract_y
_atom_site_fract_z
Er1 Er 0.0000 0.0000 0.1134
Er2 Er 0.0000 0.0000 0.3675
Zn1 Zn 0.0000 0.0000 0.2526
Pb1 Pb 0.0000 0.0000 0.5000
# V in Å³ per atom: 26.05
# Formation energy from the elements in meV/atom: -190

# PBE ErZnPb2, relaxed
data_ErZnPb2
_chemical_formula_sum 'Er1 Zn1 Pb2'
_cell_length_a 4.748
_cell_length_b 4.748
_cell_length_c 4.458
_cell_angle_alpha 90.00
_cell_angle_beta 90.00
_cell_angle_gamma 90.00
_space_group_name_H-M_alt 'P 4/m m m'
_space_group_IT_number 123
_space_group_name_Hall '-P 4 2'
loop_
_atom_site_label
_atom_site_type_symbol
_atom_site_fract_x
_atom_site_fract_y
_atom_site_fract_z
Er1 Er 0.000 0.000 0.000
Zn1 Zn 0.500 0.500 0.000
Pb1 Pb 0.000 0.500 0.500
# V in Å³ per atom: 25.12
# Formation energy from the elements in meV/atom: -222

# PBE Er6ZnPb, relaxed
data_Er6ZnPb
_chemical_formula_sum 'Er12 Zn2 Pb2'
_cell_length_a 5.007
_cell_length_b 5.007
_cell_length_c 18.009
_cell_angle_alpha 90.00
_cell_angle_beta 90.00
_cell_angle_gamma 90.00
_space_group_name_H-M_alt 'I 4/m m m'
_space_group_IT_number 139
_space_group_name_Hall '-I 4 2'
loop_
_atom_site_label
_atom_site_type_symbol
_atom_site_fract_x
_atom_site_fract_y
_atom_site_fract_z
Er1 Er 0.000 0.000 0.248
Er2 Er 0.000 0.500 0.113
Zn1 Zn 0.000 0.000 0.000
Pb1 Pb 0.000 0.000 0.500
# V in Å³ per atom: 28.22
# Formation energy from the elements in meV/atom: -179

# PBE Er2ZnPb, relaxed
data_Er2ZnPb
_chemical_formula_sum 'Er2 Zn1 Pb1'
_cell_length_a 3.587
_cell_length_b 3.587
_cell_length_c 7.720
_cell_angle_alpha 90.00
_cell_angle_beta 90.00
_cell_angle_gamma 90.00
_space_group_name_H-M_alt 'P 4/m m m'
_space_group_IT_number 123
_space_group_name_Hall '-P 4 2'
loop_
_atom_site_label
_atom_site_type_symbol
_atom_site_fract_x
_atom_site_fract_y
_atom_site_fract_z
Er1 Er 0.000 0.000 0.224
Zn1 Zn 0.500 0.500 0.000
Pb1 Pb 0.500 0.500 0.500
# V in Å³ per atom: 24.83
# Formation energy from the elements in meV/atom: -364

# PBE Er5ZnPb4, relaxed
data_Er5ZnPb4
_chemical_formula_sum 'Er10 Zn2 Pb8'
_cell_length_a 9.658
_cell_length_b 9.658
_cell_length_c 6.255
_cell_angle_alpha 90.00
_cell_angle_beta 90.00
_cell_angle_gamma 90.00
_space_group_name_H-M_alt 'I 4'
_space_group_IT_number 79
loop_
_space_group_symop_operation_xyz
'x,y,z'
'-y,x,z'
'-x,-y,z'
'y,-x,z'
'x+1/2,y+1/2,z+1/2'
'-y+1/2,x+1/2,z+1/2'
'-x+1/2,-y+1/2,z+1/2'
'y+1/2,-x+1/2,z+1/2'
loop_
_atom_site_label
_atom_site_type_symbol
_atom_site_fract_x
_atom_site_fract_y
_atom_site_fract_z
Er1 Er 0.000 0.000 0.000
Er2 Er 0.091 0.694 0.321
Zn1 Zn 0.000 0.000 0.495
Pb1 Pb 0.101 0.718 0.816
# V in Å³ per atom: 29.17
# Formation energy from the elements in meV/atom: -241

# PBE ErZr2Pb, relaxed
data_ErZr2Pb
_chemical_formula_sum 'Er4 Zr8 Pb4'
_cell_length_a 4.406
_cell_length_b 21.383
_cell_length_c 4.413
_cell_angle_alpha 90.00
_cell_angle_beta 90.00
_cell_angle_gamma 90.00
_space_group_name_H-M_alt 'C m c m'
_space_group_IT_number 63
_space_group_name_Hall '-C 2c 2'
loop_
_atom_site_label
_atom_site_type_symbol
_atom_site_fract_x
_atom_site_fract_y
_atom_site_fract_z
Er1 Er 0.000 0.189 0.250
Zr1 Zr 0.000 0.054 0.750
Zr2 Zr 0.000 0.448 0.750
Pb1 Pb 0.000 0.336 0.250
# V in Å³ per atom: 25.98
# Formation energy from the elements in meV/atom: -316